Record 1
Compound: Na2TlSiO4
Source: the Alexandria database
Functional: PBE
Structure: optimized geometry

* formation energy without anion corrections: -1.825 eV/atom

Unit cell a=5.124 b=5.124 c=9.351 alpha=90.00 beta=90.00 gamma=90.00
Space group I-4 (No. 82)
Inequivalent atoms, fractional coordinates:
Na  0.000  0.000  0.000 (multiplicity 2)
Na  0.000  0.500  0.250 (multiplicity 2)
Tl  0.000  0.000  0.500 (multiplicity 2)
Si  0.000  0.500  0.750 (multiplicity 2)
O  0.183  0.699  0.849 (multiplicity 8)


Record 2
Compound: NaTlSi2O6
Source: the Alexandria database
Functional: PBE
Structure: optimized geometry

* formation energy without anion corrections: -2.096 eV/atom

Unit cell a=10.481 b=10.246 c=5.427 alpha=90.00 beta=109.21 gamma=90.00
Space group C2/c (No. 15)
Inequivalent atoms, fractional coordinates:
Na  0.000  0.089  0.250 (multiplicity 4)
Tl  0.000  0.258  0.750 (multiplicity 4)
Si  0.207  0.420  0.210 (multiplicity 8)
O  0.122  0.281  0.138 (multiplicity 8)
O  0.131  0.097  0.678 (multiplicity 8)
O  0.157  0.495  0.433 (multiplicity 8)


Number 1: mass density 4.63 g cm⁻³, density of states at the Fermi level 3.12 states/eV/f.u., calculated volume 122.75 Å³/f.u.. Number 2: mass density 4.58 g cm⁻³, density of states at the Fermi level 0.00 states/eV/f.u., calculated volume 137.59 Å³/f.u..